Entry 1:
Below is a geometry-optimized KHgTe2 structure, with properties calculated at the PBE level.

## Properties
Formation energy from raw total energies = -147 meV per atom
Final energy = -2.068 eV/atom

```
data_KHgTe2
_cell_length_a 5.052
_cell_length_b 5.052
_cell_length_c 9.850
_cell_angle_alpha 90.00
_cell_angle_beta 90.00
_cell_angle_gamma 90.00
_space_group_name_H-M_alt 'I -4 m 2'
_space_group_IT_number 119
_space_group_name_Hall 'I -4 -2'
loop_
_atom_site_label
_atom_site_type_symbol
_atom_site_fract_x
_atom_site_fract_y
_atom_site_fract_z
K1 K 0.000 0.000 0.000
Hg1 Hg 0.000 0.500 0.250
Te1 Te 0.000 0.000 0.500
Te2 Te 0.000 0.500 0.750
```

Entry 2:
Below is a geometry-optimized K2Hg3Te4 structure, with properties calculated at the PBE level.

## Properties
Formation energy from raw total energies = -387 meV per atom
Final energy = -2.128 eV/atom

```
data_K2Hg3Te4
_cell_length_a 14.356
_cell_length_b 13.479
_cell_length_c 7.227
_cell_angle_alpha 90.00
_cell_angle_beta 95.10
_cell_angle_gamma 90.00
_space_group_name_H-M_alt 'C 1 2/c 1'
_space_group_IT_number 15
loop_
_space_group_symop_operation_xyz
'x,y,z'
'-x,-y,-z'
'-x,y,-z+1/2'
'x,-y,z+1/2'
'x+1/2,y+1/2,z'
'-x+1/2,-y+1/2,-z'
'-x+1/2,y+1/2,-z+1/2'
'x+1/2,-y+1/2,z+1/2'
loop_
_atom_site_label
_atom_site_type_symbol
_atom_site_fract_x
_atom_site_fract_y
_atom_site_fract_z
K1 K 0.187 0.132 0.206
Hg1 Hg 0.000 0.092 0.750
Hg2 Hg 0.100 0.408 0.401
Te1 Te 0.059 0.353 0.922
Te2 Te 0.229 0.124 0.715
```

Entry 3:
Below is a geometry-optimized KHg2Te structure, with properties calculated at the PBE level.

## Properties
Formation energy from raw total energies = -268 meV per atom
Final energy = -1.479 eV/atom

```
data_KHg2Te
_cell_length_a 9.378
_cell_length_b 9.378
_cell_length_c 6.681
_cell_angle_alpha 90.00
_cell_angle_beta 90.00
_cell_angle_gamma 90.00
_space_group_name_H-M_alt 'I -4 2 d'
_space_group_IT_number 122
_space_group_name_Hall 'I -4 2bw'
loop_
_atom_site_label
_atom_site_type_symbol
_atom_site_fract_x
_atom_site_fract_y
_atom_site_fract_z
K1 K 0.000 0.000 0.000
Hg1 Hg 0.196 0.250 0.625
Te1 Te 0.000 0.000 0.500
```

- Which value of formation energy from raw total energies does entry 3 give?
  -268 meV per atom